1:
Compound: Tb4PrEr7
Source: the Alexandria database
Functional: PBE
Structure: relaxed

Total magnetization: 0.00 Bohr magnetons per cell
DOS at the Fermi energy: 20.318 states/eV per cell

The structure in extended XYZ format:
```
12
Lattice="5.8474 0.0000 0.0000 2.9237 11.1030 -0.2975 2.9237 0.2279 6.0310" Properties=species:S:1:pos:R:3 pbc="T T T"
Tb 5.8474 8.7163 2.7248
Tb 5.8474 2.6146 3.0088
Tb 8.7711 7.7326 4.6731
Tb 2.9237 3.5983 1.0604
Er 2.9237 0.9734 2.9959
Er 8.7711 10.3574 2.7376
Er 8.7711 3.8183 4.6946
Er 5.8474 5.7470 4.4720
Er 5.8474 5.5839 1.2616
Er 2.9237 7.5125 1.0389
Er 2.9237 0.0000 0.0000
Pr 0.0000 0.0000 0.0000
```

***

2:
Compound: Tb4PrEr7
Source: the Alexandria database
Functional: PBE
Structure: relaxed

Total magnetization: 0.00 Bohr magnetons per cell
DOS at the Fermi energy: 16.558 states/eV per cell

The structure in extended XYZ format:
```
12
Lattice="-6.9259 -1.4552 -1.0031 -6.8362 -5.2090 3.9142 -2.0778 5.2995 6.7056" Properties=species:S:1:pos:R:3 pbc="T T T"
Er -7.5976 -0.5154 2.3299
Er -10.0227 0.6598 4.5780
Er -5.1507 -2.9667 1.7081
Er -3.4629 -0.7276 -0.5016
Er -5.8171 -2.0245 5.0387
Er -10.6891 1.6020 7.9086
Er -8.2422 -0.8494 7.2868
Tb -11.7062 -1.5751 6.7901
Tb -9.2908 -2.7459 4.5388
Tb -6.5490 1.3811 5.0780
Tb -4.1336 0.2104 2.8267
Pr 0.0000 0.0000 0.0000
```

***

Energy relative to the most stable one, in meV per atom: 1 273; 2 0

***

1:
Compound: Tb3PrEr7
Source: the Alexandria database
Functional: PBE
Structure: relaxed

Total magnetization: 0.00 Bohr magnetons per cell
DOS at the Fermi energy: 16.337 states/eV per cell

The structure in extended XYZ format:
```
11
Lattice="-4.5540 3.4493 -0.8395 1.7387 -0.5597 8.1828 7.0926 4.4660 -0.2112" Properties=species:S:1:pos:R:3 pbc="T T T"
Er 6.6893 5.0551 4.4351
Er 4.4157 1.9531 3.9858
Er 4.6240 3.1164 7.6733
Er -2.4120 2.3004 2.6970
Er -0.3466 4.2392 -0.5411
Er 0.8739 1.5087 1.4607
Er 3.4034 5.8468 5.6714
Tb 2.8495 0.4830 6.4413
Tb 5.9818 3.4233 1.5303
Tb -2.2770 1.7246 -0.4198
Pr 2.1387 3.6778 3.5661
```

***

2:
Compound: Tb3PrEr7
Source: the Alexandria database
Functional: PBE
Structure: relaxed

Total magnetization: 0.00 Bohr magnetons per cell
DOS at the Fermi energy: 17.760 states/eV per cell

The structure in extended XYZ format:
```
11
Lattice="-5.5315 5.0128 -4.7332 6.0587 -4.1196 -6.6266 -0.9180 -4.9441 2.2343" Properties=species:S:1:pos:R:3 pbc="T T T"
Er -3.2247 0.0344 -1.2495
Er -1.9789 1.3239 -4.6588
Er 1.5881 -5.3747 -4.4668
Er 0.5508 -0.6895 -1.2987
Er -0.9416 -3.3614 -7.8269
Er -0.9592 -0.1172 -7.4307
Er 0.5683 -3.9336 -1.6949
Pr -0.1954 -2.0254 -4.5628
Tb -1.8629 -2.4778 0.5311
Tb 1.4721 -1.5730 -9.6567
Tb 3.0293 -2.0598 -3.3133
```

***

Energy relative to the most stable one, in meV per atom: 1 109; 2 0

***

1:
Compound: Tb2PrEr3
Source: the Alexandria database
Functional: PBE
Structure: relaxed

Total magnetization: 0.00 Bohr magnetons per cell
DOS at the Fermi energy: 19.699 states/eV per cell

The structure in extended XYZ format:
```
12
Lattice="6.5831 0.4998 -0.5111 -1.1038 6.5091 -0.5111 -0.5568 -0.7122 8.8996" Properties=species:S:1:pos:R:3 pbc="T T T"
Tb 5.2476 2.7938 0.4796
Tb -0.3251 3.5028 7.3979
Tb 1.1664 5.4106 4.9294
Tb 3.7561 0.8860 2.9480
Er 2.9055 2.5141 6.1636
Er 3.4827 5.7793 -0.7327
Er 2.0170 3.7825 1.7138
Er 0.4330 1.8782 4.1603
Er 1.4398 0.5174 8.6101
Er 4.4895 4.4184 3.7172
Pr 5.4648 0.5134 6.1636
Pr -0.5423 5.7833 1.7138
```

***

2:
Compound: Tb2PrEr3
Source: the Alexandria database
Functional: PBE
Structure: relaxed

Total magnetization: 0.00 Bohr magnetons per cell
DOS at the Fermi energy: 14.718 states/eV per cell

The structure in extended XYZ format:
```
12
Lattice="11.5150 0.0000 0.0000 0.0000 6.1877 -0.2883 0.0000 -2.8472 5.5013" Properties=species:S:1:pos:R:3 pbc="T T T"
Er 11.1649 4.6726 0.6814
Er 11.1649 -1.3331 4.5300
Er 5.4094 1.6705 2.6068
Er 5.4073 4.6736 0.6830
Er 11.1669 1.6700 2.6061
Er 5.4073 -1.3321 4.5315
Tb 2.5292 0.7228 4.4372
Tb 8.2867 -0.3888 2.7024
Tb 8.2867 2.6177 0.7758
Tb 2.5292 3.7293 2.5106
Pr 2.5292 0.5532 0.8633
Pr 8.2867 2.7873 4.3496
```

***

Energy relative to the most stable one, in meV per atom: 1 52; 2 0

***

1:
Compound: Tb4PrEr3
Source: the Alexandria database
Functional: PBE
Structure: relaxed

Total magnetization: 0.00 Bohr magnetons per cell
DOS at the Fermi energy: 25.943 states/eV per cell

The structure in extended XYZ format:
```
16
Lattice="-3.4783 1.6069 -4.9818 2.3952 -5.8744 -3.5671 -8.6565 -6.0205 4.1022" Properties=species:S:1:pos:R:3 pbc="T T T"
Tb -6.2759 -2.7108 -1.6194
Tb -9.5858 -3.6567 -2.2671
Tb -6.0913 -8.8982 -2.4333
Tb -1.7208 -5.8586 -4.5044
Tb -5.2997 -0.6758 -4.2982
Tb 1.5836 -4.8992 -3.8485
Tb -2.7506 -7.9134 -1.8157
Tb -1.9603 0.3119 -3.6788
Er -7.2698 -5.9464 -0.6555
Er -8.4048 -6.6096 -4.0413
Er -4.0814 -3.6027 -6.0901
Er -2.9367 -2.9329 -2.7089
Er -3.9448 -4.9750 -0.0233
Er -0.7565 -2.6308 -5.4576
Pr -5.0807 -5.6437 -3.4017
Pr 0.3868 -1.9656 -2.0685
```

***

2:
Compound: Tb4PrEr3
Source: the Alexandria database
Functional: PBE
Structure: relaxed

Total magnetization: 0.00 Bohr magnetons per cell
DOS at the Fermi energy: 13.873 states/eV per cell

The structure in extended XYZ format:
```
8
Lattice="-3.8498 3.8830 -1.4840 -2.6129 -2.2345 0.9318 2.1105 2.8608 12.8258" Properties=species:S:1:pos:R:3 pbc="T T T"
Tb -3.1505 2.9787 5.1512
Tb -3.1911 1.8402 2.2777
Tb -1.1611 2.6691 9.9958
Tb -1.2018 1.5306 7.1224
Er 0.0562 1.4902 3.7535
Er -1.3065 -1.1172 0.4659
Er -4.4084 3.0191 8.5200
Pr -1.9249 1.9415 -0.7420
```

***

Energy relative to the most stable one, in meV per atom: 1 0; 2 215